This record from the Alexandria database describes an optimized crystal structure of ReIrRu. The functional is GGA-PBEsol.

Structure (POSCAR):
```
ReIrRu
1.0
2.7043 0.0000 0.0000
-1.3521 2.3420 0.0000
0.0000 0.0000 6.6334
Ru Re Ir
1 1 1
direct
0.3333 0.6667 0.3395 Ru
0.6667 0.3333 0.6620 Re
0.0000 0.0000 0.9986 Ir
```

Computed properties:
Calculated total energy in eV/atom: -11.152
Calculated formation energy in eV/atom: -0.0425

---

This record from the Alexandria database describes an optimized crystal structure of ReIrRu2. The functional is GGA-PBEsol.

Structure (POSCAR):
```
ReIrRu2
1.0
2.6932 0.0000 0.0000
1.3466 2.3324 0.0000
1.3466 0.7775 8.8089
Re Ir Ru
1 1 2
direct
0.0000 0.0000 0.0000 Re
0.5000 0.5000 0.5000 Ir
0.2505 0.2505 0.2484 Ru
0.7495 0.7495 0.7516 Ru
```

Computed properties:
Calculated total energy in eV/atom: -10.862
Calculated formation energy in eV/atom: 0.0136

---

This record from the Alexandria database describes an optimized crystal structure of ZrRe2IrS. The functional is GGA-PBEsol.

Structure (POSCAR):
```
ZrRe2IrS
1.0
4.5650 0.0000 0.0000
0.0000 4.6889 0.0000
0.0000 0.0000 4.6889
Ir Re S Zr
1 2 1 1
direct
0.5000 0.5000 0.5000 Ir
0.0000 0.0000 0.5000 Re
0.0000 0.5000 0.0000 Re
0.5000 0.0000 0.0000 S
0.0000 0.0000 0.0000 Zr
```

Computed properties:
Calculated total energy in eV/atom: -7.495
Energy relative to the elements, uncorrected in kJ per mole of atoms: 241.0

---

This record from the Alexandria database describes an optimized crystal structure of ReSb2Ir. The functional is GGA-PBEsol.

Structure (POSCAR):
```
ReSb2Ir
1.0
3.3297 0.0000 0.0000
0.0000 4.3675 0.0000
-1.6648 -2.1838 4.9851
Ir Sb Re
1 2 1
direct
0.4822 0.4822 0.9644 Ir
0.9908 0.9908 0.9817 Sb
0.7618 0.2618 0.5237 Sb
0.2651 0.7651 0.5303 Re
```

Computed properties:
Calculated total energy in eV/atom: -7.484
Energy relative to the elements, uncorrected in kJ per mole of atoms: 56.3

---

This record from the Alexandria database describes an optimized crystal structure of ReSb2Ir. The functional is GGA-PBEsol.

Structure (POSCAR):
```
ReSb2Ir
1.0
-1.5802 0.3522 2.4905
-1.0455 -2.7670 -0.2721
7.0445 -3.1450 4.9146
Sb Ir Re
2 1 1
direct
0.0000 0.0000 0.9309 Sb
0.5000 0.5000 0.3114 Sb
0.0000 0.0000 0.5401 Ir
0.5000 0.5000 0.7176 Re
```

Computed properties:
Calculated total energy in eV/atom: -7.838
Energy relative to the elements, uncorrected in kJ per mole of atoms: 22.1

---

This record from the Alexandria database describes an optimized crystal structure of Sc2ReIr. The functional is GGA-PBEsol.

Structure (POSCAR):
```
Sc2ReIr
1.0
-0.3976 1.1919 -3.1644
3.0805 -1.1862 -0.8339
-2.4386 -5.1774 -1.6437
Sc Re Ir
2 1 1
direct
0.5000 0.5000 0.2879 Sc
0.0000 0.0000 0.9666 Sc
0.5000 0.5000 0.7517 Re
0.0000 0.0000 0.4938 Ir
```

Computed properties:
Calculated total energy in eV/atom: -9.070
Calculated formation energy in eV/atom: 0.0210

---

This record from the Alexandria database describes an optimized crystal structure of Sc2ReIr. The functional is GGA-PBEsol.

Structure (POSCAR):
```
Sc2ReIr
1.0
3.1477 0.0000 0.0000
0.0000 4.3041 0.0000
0.0000 0.0000 4.7988
Sc Re Ir
2 1 1
direct
0.0000 0.0000 0.0000 Sc
0.5000 0.0000 0.5000 Sc
0.0000 0.5000 0.5000 Re
0.5000 0.5000 0.0000 Ir
```

Computed properties:
Calculated total energy in eV/atom: -9.296
Calculated formation energy in eV/atom: -0.2048

---

This record from the Alexandria database describes an optimized crystal structure of Sc2ReIr. The functional is GGA-PBEsol.

Structure (POSCAR):
```
Sc2ReIr
1.0
4.4995 0.0000 0.0000
2.2498 3.8967 0.0000
2.2498 1.2989 3.6738
Ir Re Sc
1 1 2
direct
0.5000 0.5000 0.5000 Ir
0.7500 0.7500 0.7500 Re
0.2500 0.2500 0.2500 Sc
0.0000 0.0000 0.0000 Sc
```

Computed properties:
Calculated total energy in eV/atom: -9.280
Calculated formation energy in eV/atom: -0.1884